CdFe2Au: PBEsol geometry, meta-GGA SCAN.

## Properties
* calculated volume: 60 Å³/f.u.
* SG: R3m
* total magnetization: 5.590 μB/f.u.
* energy: -135.37 eV for the cell shown
* D(E_F): 2.2 states/eV per cell
* energy of formation from the pure elements: 114.9 meV per atom

Cell: 2.8346 2.8346 8.7500 Å, 80.68 80.68 60.00°
Sites, in units of the cell vectors:
Au 0.4923 0.4923 0.5232
Cd 0.2556 0.2556 0.2333
Fe 0.0103 0.0103 0.9692
Fe 0.7419 0.7419 0.7744

***

NaLi3Si6: PBEsol geometry, meta-GGA SCAN.

## Properties
* calculated volume: 172 Å³/f.u.
* SG: Pnma
* uncorrected formation energy: -0.13 eV/atom
* total magnetization: 0.000 μB/f.u.
* energy: -291.19 eV for the cell shown

Cell: 3.7760 10.2200 17.8558 Å, 90.00 90.00 90.00°
Sites, in units of the cell vectors:
Na 0.7500 0.2506 0.4242
Na 0.2500 0.7494 0.5758
Na 0.2500 0.7506 0.0758
Na 0.7500 0.2494 0.9242
Li 0.2500 0.0149 0.9317
Li 0.7500 0.9851 0.0683
Li 0.7500 0.5149 0.5683
Li 0.2500 0.4851 0.4317
Li 0.2500 0.4082 0.0282
Li 0.7500 0.5918 0.9718
Li 0.7500 0.9082 0.4718
Li 0.2500 0.0918 0.5282
Li 0.7500 0.9358 0.8120
Li 0.2500 0.0642 0.1880
Li 0.2500 0.4358 0.6880
Li 0.7500 0.5642 0.3120
Si 0.2500 0.5229 0.1962
Si 0.7500 0.4771 0.8038
Si 0.7500 0.0229 0.3038
Si 0.2500 0.9771 0.6962
Si 0.2500 0.1647 0.0540
Si 0.7500 0.8353 0.9460
Si 0.7500 0.6647 0.4460
Si 0.2500 0.3353 0.5540
Si 0.2500 0.3597 0.2954
Si 0.7500 0.6403 0.7046
Si 0.7500 0.8597 0.2046
Si 0.2500 0.1403 0.7954
Si 0.7500 0.4977 0.1172
Si 0.2500 0.5023 0.8828
Si 0.2500 0.9977 0.3828
Si 0.7500 0.0023 0.6172
Si 0.7500 0.2583 0.1167
Si 0.2500 0.7417 0.8833
Si 0.2500 0.7583 0.3833
Si 0.7500 0.2417 0.6167
Si 0.2500 0.7420 0.2492
Si 0.7500 0.2580 0.7508
Si 0.7500 0.2420 0.2508
Si 0.2500 0.7580 0.7492

***

MnSnSbI2: PBEsol geometry, meta-GGA SCAN.

## Properties
* calculated volume: 149 Å³/f.u.
* SG: P4/mmm
* uncorrected formation energy: 0.17 eV/atom
* total magnetization: 4.417 μB/f.u.
* energy: -164.07 eV for the cell shown
* D(E_F): 2.7 states/eV per cell

Cell: 5.2942 5.2942 5.3117 Å, 90.00 90.00 90.00°
Sites, in units of the cell vectors:
I 0.0000 0.5000 0.0000
I 0.5000 0.0000 0.0000
Sb 0.0000 0.0000 0.5000
Mn 0.0000 0.0000 0.0000
Sn 0.5000 0.5000 0.5000

***

ZnFe2: PBEsol geometry, meta-GGA SCAN.

## Properties
* calculated volume: 35 Å³/f.u.
* SG: Immm
* total magnetization: 4.979 μB/f.u.
* energy: -49.74 eV for the cell shown
* D(E_F): 2.3 states/eV per cell
* energy of formation from the pure elements: 12.7 meV per atom

Cell: 2.4494 3.7623 4.3657 Å, 115.52 106.29 90.00°
Sites, in units of the cell vectors:
Zn 0.5000 0.5000 0.0000
Fe 0.8337 0.8337 0.6673
Fe 0.1663 0.1663 0.3327

***

CsLi2Cl3: PBEsol geometry, meta-GGA SCAN.

## Properties
* calculated volume: 152 Å³/f.u.
* SG: Pbcn
* uncorrected formation energy: -2.09 eV/atom
* total magnetization: 0.000 μB/f.u.
* energy: -316.37 eV for the cell shown
* D(E_F): 0.0 states/eV per cell

Cell: 6.7880 7.2182 12.4040 Å, 90.00 90.00 90.00°
Sites, in units of the cell vectors:
Cl 0.9427 0.4018 0.7489
Cl 0.4427 0.0982 0.7511
Cl 0.5573 0.4018 0.2511
Cl 0.0573 0.0982 0.2489
Cl 0.0573 0.5982 0.2511
Cl 0.5573 0.9018 0.2489
Cl 0.4427 0.5982 0.7489
Cl 0.9427 0.9018 0.7511
Cl 0.7500 0.1934 0.5000
Cl 0.2500 0.3066 0.0000
Cl 0.2500 0.8066 0.5000
Cl 0.7500 0.6934 0.0000
Cs 0.7500 0.6997 0.5000
Cs 0.2500 0.8003 0.0000
Cs 0.2500 0.3003 0.5000
Cs 0.7500 0.1997 0.0000
Li 0.7589 0.1531 0.6842
Li 0.2589 0.3469 0.8158
Li 0.7411 0.1531 0.3158
Li 0.2411 0.3469 0.1842
Li 0.2411 0.8469 0.3158
Li 0.7411 0.6531 0.1842
Li 0.2589 0.8469 0.6842
Li 0.7589 0.6531 0.8158

***

NdGaPt: PBEsol geometry, meta-GGA SCAN.

## Properties
* calculated volume: 60 Å³/f.u.
* SG: Pnma
* total magnetization: 0.000 μB/f.u.
* energy: -535.39 eV for the cell shown
* D(E_F): 6.0 states/eV per cell
* energy of formation from the pure elements: -1242.3 meV per atom

Cell: 4.4527 7.0557 7.6786 Å, 90.00 90.00 90.00°
Sites, in units of the cell vectors:
Nd 0.7500 0.9822 0.6962
Nd 0.7500 0.4822 0.8038
Nd 0.2500 0.0178 0.3038
Nd 0.2500 0.5178 0.1962
Ga 0.7500 0.8314 0.0766
Ga 0.7500 0.3314 0.4234
Ga 0.2500 0.1686 0.9234
Ga 0.2500 0.6686 0.5766
Pt 0.7500 0.7152 0.4028
Pt 0.7500 0.2152 0.0972
Pt 0.2500 0.2848 0.5972
Pt 0.2500 0.7848 0.9028

***

Cd2FeOsI: PBEsol geometry, meta-GGA SCAN.

## Properties
* calculated volume: 124 Å³/f.u.
* SG: P4/mmm
* uncorrected formation energy: 0.90 eV/atom
* total magnetization: 3.201 μB/f.u.
* energy: -183.08 eV for the cell shown
* D(E_F): 3.6 states/eV per cell

Cell: 4.4506 5.2811 5.2811 Å, 90.00 90.00 90.00°
Sites, in units of the cell vectors:
I 0.5000 0.5000 0.5000
Os 0.0000 0.0000 0.0000
Fe 0.5000 0.0000 0.0000
Cd 0.0000 0.0000 0.5000
Cd 0.0000 0.5000 0.0000

***

SrTlS2N: PBEsol geometry, meta-GGA SCAN.

## Properties
* calculated volume: 115 Å³/f.u.
* SG: P4/mmm
* uncorrected formation energy: -0.06 eV/atom
* total magnetization: 2.027 μB/f.u.
* energy: -123.48 eV for the cell shown
* D(E_F): 0.9 states/eV per cell

Cell: 4.2656 5.2006 5.2006 Å, 90.00 90.00 90.00°
Sites, in units of the cell vectors:
Sr 0.5000 0.5000 0.5000
Tl 0.0000 0.0000 0.0000
S 0.0000 0.0000 0.5000
S 0.0000 0.5000 0.0000
N 0.5000 0.0000 0.0000

***

ThNiGe2: PBEsol geometry, meta-GGA SCAN.

## Properties
* calculated volume: 73 Å³/f.u.
* SG: Cmcm
* total magnetization: 0.000 μB/f.u.
* energy: -306.73 eV for the cell shown
* D(E_F): 2.3 states/eV per cell
* energy of formation from the pure elements: -774.7 meV per atom

Cell: 4.1808 4.2207 8.5010 Å, 90.00 104.23 90.00°
Sites, in units of the cell vectors:
Ni 0.8194 0.7500 0.6388
Ni 0.1806 0.2500 0.3612
Ge 0.0409 0.2500 0.0817
Ge 0.9591 0.7500 0.9183
Ge 0.7495 0.2500 0.4989
Ge 0.2505 0.7500 0.5011
Th 0.6075 0.7500 0.2150
Th 0.3925 0.2500 0.7850

***

Sc2MnHg: PBEsol geometry, meta-GGA SCAN.

## Properties
* calculated volume: 76 Å³/f.u.
* SG: P4/mmm
* total magnetization: 3.452 μB/f.u.
* energy: -116.45 eV for the cell shown
* D(E_F): 4.3 states/eV per cell
* energy of formation from the pure elements: -389.5 meV per atom

Cell: 3.3783 4.7431 4.7431 Å, 90.00 90.00 90.00°
Sites, in units of the cell vectors:
Hg 0.5000 0.5000 0.5000
Mn 0.5000 0.0000 0.0000
Sc 0.0000 0.0000 0.5000
Sc 0.0000 0.5000 0.0000